A plane-wave DFT calculation with PBE was carried out for ZnC2 after structural relaxation.

The structure in POSCAR format:
```
ZnC2
1.0
0.000 3.032 3.032
3.032 0.000 3.032
3.032 3.032 0.000
Zn C
2 4
direct
0.125 0.125 0.125
0.875 0.875 0.875
0.000 0.500 0.500
0.500 0.000 0.500
0.500 0.500 0.000
0.500 0.500 0.500
```

- volume (Å³ per atom) = 9.30
- symmetry = No. 227
- density (g/cm³) = 5.325
- uncorrected energy (eV per atom) = -3.7743
- crystal system = cubic